# 1
Entry from the Open Quantum Materials Database: a geometry-optimized BaTcSb2 structure (GGA-PBE).

The structure belongs to space group F-43m (No. 216); the cell edges are 7.448, 7.448 and 7.448 Å and the angles 90.00°, 90.00° and 90.00°. The asymmetric unit holds Ba at (0.000, 0.000, 0.000), Tc at (0.250, 0.250, 0.250), Sb at (0.000, 0.000, 0.500) and Sb at (0.250, 0.250, 0.750).

The value obtained for the distance to the lowest polymorph of the same formula is 885 meV per atom.



# 2
Entry from the Open Quantum Materials Database: a geometry-optimized BaThSb structure (GGA-PBE).

The structure belongs to space group F-43m (No. 216); the cell edges are 7.816, 7.816 and 7.816 Å and the angles 90.00°, 90.00° and 90.00°. The asymmetric unit holds Ba at (0.000, 0.000, 0.000), Th at (0.250, 0.250, 0.250) and Sb at (0.250, 0.250, 0.750).

For the uncorrected energy, the calculation gives -46.35 eV/cell.



# 3
Entry from the Open Quantum Materials Database: a geometry-optimized Ba2TmSb2 structure (GGA-PBE).

The structure belongs to space group Cmc2_1 (No. 36); the cell edges are 5.028, 18.485 and 8.882 Å and the angles 90.00°, 90.00° and 90.00°. The asymmetric unit holds Ba at (0.000, 0.043, 0.000), Ba at (0.000, 0.206, 0.328), Tm at (0.000, 0.410, 0.139), Sb at (0.000, 0.170, 0.712) and Sb at (0.000, 0.442, 0.802).

For the uncorrected energy, the calculation gives -84.30 eV/cell.



# 4
Entry from the Open Quantum Materials Database: a geometry-optimized BaTmZnSb2 structure (GGA-PBE).

The structure belongs to space group Cmc2_1 (No. 36); the cell edges are 4.709, 18.248 and 7.080 Å and the angles 90.00°, 90.00° and 90.00°. The asymmetric unit holds Ba at (0.000, 0.201, 0.000), Tm at (0.000, 0.007, 0.737), Zn at (0.000, 0.409, 0.883), Sb at (0.000, 0.150, 0.497) and Sb at (0.000, 0.439, 0.493).

For the uncorrected energy, the calculation gives -78.87 eV/cell.



# 5
Entry from the Open Quantum Materials Database: a geometry-optimized Ba4Sb2W structure (GGA-PBE).

The structure belongs to space group I4/mmm (No. 139); the cell edges are 5.705, 5.705 and 18.510 Å and the angles 90.00°, 90.00° and 90.00°. The asymmetric unit holds Ba at (0.000, 0.000, 0.180), Ba at (0.000, 0.500, 0.000), Sb at (0.000, 0.000, 0.366) and W at (0.000, 0.000, 0.000).

For the uncorrected energy, the calculation gives -55.22 eV/cell.



# 6
Entry from the Open Quantum Materials Database: a geometry-optimized BaSb2W6 structure (GGA-PBE).

The structure belongs to space group P-31m (No. 162); the cell edges are 5.7436, 5.7436 and 7.2154 Å and the angles 90.00°, 90.00° and 120.00°. The asymmetric unit holds Ba at (0.0000, 0.0000, 0.0000), Sb at (0.3333, 0.6667, 0.5000) and W at (0.0000, 0.4944, 0.8191).

For the uncorrected energy, the calculation gives -77.03 eV/cell.



no.,density (Mg/m³)
1,7.70
2,6.83
3,5.53
4,6.72
5,5.38
6,11.95